This record from OQMD via LeMat-Bulk describes a relaxed Nd2As crystal. The functional is PBE.

Output
Its total moment is 0.001 μB per atom. Its uncorrected energy is -4.658 eV per atom. The calculated density is 7.08 g/cm³.

a b c (Å): 6.2244 6.2244 6.2244
angles (deg): 60.00 60.00 60.00
Element x y z (fractional)
Nd (0.6250, 0.1250, 0.6250)
Nd (0.6250, 0.6250, 0.1250)
Nd (0.6250, 0.6250, 0.6250)
Nd (0.1250, 0.6250, 0.6250)
As (0.0000, 0.0000, 0.0000)
As (0.2500, 0.2500, 0.2500)

This record from OQMD via LeMat-Bulk describes a relaxed Cu3Ag crystal. The functional is PBE.

Output
Its uncorrected energy is -3.409 eV per atom. The energy relative to the elements is 0.34 eV/f.u. The calculated density is 9.27 g/cm³.

a b c (Å): 6.4993 6.4993 2.6990
angles (deg): 90.00 90.00 110.25
Element x y z (fractional)
Cu (0.7294, 0.7294, 0.5000)
Cu (0.6230, 0.3770, 0.0000)
Cu (0.5000, 0.0000, 0.5000)
Cu (0.0000, 0.5000, 0.5000)
Cu (0.2705, 0.2705, 0.5000)
Cu (0.3770, 0.6230, 0.0000)
Ag (0.8730, 0.1270, 0.0000)
Ag (0.1270, 0.8730, 0.0000)

This record from OQMD via LeMat-Bulk describes a relaxed Cs3TmCl6 crystal. The functional is PBE.

Output
Its total moment is 0.000 μB per atom. Its uncorrected energy is -3.943 eV per atom. The calculated density is 3.29 g/cm³.

a b c (Å): 8.2307 8.2307 8.2307
angles (deg): 60.00 60.00 60.00
Element x y z (fractional)
Cl (0.2227, 0.7773, 0.2227)
Cl (0.2227, 0.2227, 0.7773)
Cl (0.2227, 0.7773, 0.7773)
Cl (0.7773, 0.2227, 0.7773)
Cl (0.7773, 0.2227, 0.2227)
Cl (0.7773, 0.7773, 0.2227)
Cs (0.7500, 0.7500, 0.7500)
Cs (0.2500, 0.2500, 0.2500)
Cs (0.5000, 0.5000, 0.5000)
Tm (0.0000, 0.0000, 0.0000)

This record from OQMD via LeMat-Bulk describes a relaxed ErSiPd crystal. The functional is PBE.

Output
Its total moment is 0.000 μB per atom. Its uncorrected energy is -5.762 eV per atom. The calculated density is 8.01 g/cm³.

a b c (Å): 4.4567 4.4567 4.4567
angles (deg): 60.00 60.00 60.00
Element x y z (fractional)
Pd (0.0000, 0.0000, 0.0000)
Si (0.2500, 0.2500, 0.2500)
Er (0.7500, 0.7500, 0.7500)